This record from Alexandria describes a relaxed structure of CsB3Ir. The functional is PBE.

V ... 16.5 A^3/atom
ΔH_f (0 K) ... 3.838 eV/atom
Distance to the lowest polymorph of the same formula ... 3014 meV per atom

```
CsB3Ir
1.0
4.357 0.000 0.000
0.000 4.357 0.000
0.000 0.000 4.357
Cs B Ir
1 3 1
direct
0.000 0.000 0.000 Cs
0.000 0.000 0.500 B
0.000 0.500 0.000 B
0.500 0.000 0.000 B
0.500 0.500 0.500 Ir
```